No. 1
The following is a DFT calculation (PBE) of a relaxed structure of NaSm2BiO6.

* VASP energy: -6.71 eV/atom
* space group: R3
* crystal system: trigonal
* formation energy (no corrections): -2.27 eV per atom

Cell: 5.8941 5.8940 6.1857 Å, 61.55 61.55 60.00°
Fractional positions:
O (0.6911, 0.1393, 0.7658)
O (0.4038, 0.6912, 0.7658)
O (0.9515, 0.5880, 0.2434)
O (0.5880, 0.2172, 0.2434)
O (0.1393, 0.4038, 0.7658)
O (0.2172, 0.9515, 0.2434)
Bi (0.3180, 0.3180, 0.0460)
Sm (0.0244, 0.0244, 0.9269)
Sm (0.5272, 0.5272, 0.4183)
Na (0.8012, 0.8012, 0.5965)

No. 2
The following is a DFT calculation (PBE) of a relaxed structure of Ce2ZrPa.

* VASP energy: -7.31 eV/atom
* space group: R-3m
* E_form: 165 meV/atom
* crystal system: trigonal
* energy relative to the lowest polymorph listed for this composition: 90 meV/atom

Cell: 3.1317 3.1317 11.8899 Å, 82.43 82.43 60.00°
Fractional positions:
Pa (0.0000, 0.0000, 0.0000)
Ce (0.9155, 0.9155, 0.2536)
Ce (0.0845, 0.0845, 0.7464)
Zr (0.5000, 0.5000, 0.5000)

No. 3
The following is a DFT calculation (PBE) of a relaxed structure of RbSmBeS3.

* VASP energy: -5.16 eV/atom
* space group: P2_1/m
* crystal system: monoclinic
* formation energy (no corrections): -1.53 eV per atom

Cell: 3.9554 9.3093 9.2952 Å, 108.74 90.00 90.00°
Fractional positions:
S (0.7500, 0.1573, 0.5286)
S (0.7500, 0.4587, 0.1604)
S (0.2500, 0.1189, 0.8360)
S (0.2500, 0.5413, 0.8396)
S (0.7500, 0.8811, 0.1640)
S (0.2500, 0.8427, 0.4714)
Sm (0.7500, 0.3343, 0.8465)
Sm (0.2500, 0.6657, 0.1535)
Be (0.2500, 0.0731, 0.6040)
Be (0.7500, 0.9269, 0.3960)
Rb (0.7500, 0.8022, 0.7679)
Rb (0.2500, 0.1978, 0.2321)